# 1
This record from the Alexandria database describes an optimized crystal structure of ThAlGe2. The functional is PBE.

Cell and atoms, written as CIF:
```
data_ThAlGe2
_cell_length_a 5.599
_cell_length_b 5.599
_cell_length_c 5.599
_cell_angle_alpha 46.97
_cell_angle_beta 46.97
_cell_angle_gamma 46.97
_symmetry_space_group_name_H-M 'P 1'
_symmetry_Int_Tables_number 1
_symmetry_space_group_name_Hall 'P 1'
loop_
_atom_site_label
_atom_site_type_symbol
_atom_site_fract_x
_atom_site_fract_y
_atom_site_fract_z
Th1 Th 0.000 0.000 0.000
Al1 Al 0.500 0.500 0.500
Ge1 Ge 0.218 0.218 0.218
Ge2 Ge 0.782 0.782 0.782
```

ΔE_f, eV per atom: -0.355
N(E_F), states/eV per atom: 0.765
SG: No. 166
Magnetic moment, μB per cell: 0.00

---

# 2
This record from the Alexandria database describes an optimized crystal structure of Th4AlGe. The functional is PBE.

Cell and atoms, written as CIF:
```
data_Th4AlGe
_cell_length_a 6.090
_cell_length_b 6.090
_cell_length_c 6.090
_cell_angle_alpha 103.82
_cell_angle_beta 103.82
_cell_angle_gamma 121.49
_symmetry_space_group_name_H-M 'P 1'
_symmetry_Int_Tables_number 1
_symmetry_space_group_name_Hall 'P 1'
loop_
_atom_site_label
_atom_site_type_symbol
_atom_site_fract_x
_atom_site_fract_y
_atom_site_fract_z
Th1 Th 0.090 0.590 0.179
Th2 Th 0.410 0.910 0.821
Th3 Th 0.590 0.410 0.500
Th4 Th 0.910 0.090 0.500
Al1 Al 0.500 0.500 0.000
Ge1 Ge 0.000 0.000 0.000
```

ΔE_f, eV per atom: -0.398
Excess energy over the best structure of this formula in the dataset, meV/atom: 0
N(E_F), states/eV per atom: 1.057
SG: No. 97
Magnetic moment, μB per cell: 0.00

---

# 3
This record from the Alexandria database describes an optimized crystal structure of Th2Al3Ge4. The functional is PBE.

Cell and atoms, written as CIF:
```
data_Th2Al3Ge4
_cell_length_a 8.219
_cell_length_b 8.219
_cell_length_c 7.937
_cell_angle_alpha 90.00
_cell_angle_beta 90.00
_cell_angle_gamma 136.89
_symmetry_space_group_name_H-M 'P 1'
_symmetry_Int_Tables_number 1
_symmetry_space_group_name_Hall 'P 1'
loop_
_atom_site_label
_atom_site_type_symbol
_atom_site_fract_x
_atom_site_fract_y
_atom_site_fract_z
Th1 Th 0.114 0.886 0.918
Th2 Th 0.386 0.614 0.418
Th3 Th 0.614 0.386 0.582
Th4 Th 0.886 0.114 0.082
Al1 Al 0.000 0.000 0.500
Al2 Al 0.038 0.462 0.750
Al3 Al 0.462 0.038 0.250
Al4 Al 0.500 0.500 0.000
Al5 Al 0.538 0.962 0.750
Al6 Al 0.962 0.538 0.250
Ge1 Ge 0.185 0.815 0.549
Ge2 Ge 0.206 0.294 0.750
Ge3 Ge 0.294 0.206 0.250
Ge4 Ge 0.315 0.685 0.049
Ge5 Ge 0.685 0.315 0.951
Ge6 Ge 0.706 0.794 0.750
Ge7 Ge 0.794 0.706 0.250
Ge8 Ge 0.815 0.185 0.451
```

ΔE_f, eV per atom: -0.407
N(E_F), states/eV per atom: 0.615
SG: No. 64
Magnetic moment, μB per cell: 0.00

---

# 4
This record from the Alexandria database describes an optimized crystal structure of ThAlVGe2. The functional is PBE.

Cell and atoms, written as CIF:
```
data_ThAlVGe2
_cell_length_a 5.648
_cell_length_b 5.921
_cell_length_c 5.800
_cell_angle_alpha 90.00
_cell_angle_beta 90.00
_cell_angle_gamma 90.00
_symmetry_space_group_name_H-M 'P 1'
_symmetry_Int_Tables_number 1
_symmetry_space_group_name_Hall 'P 1'
loop_
_atom_site_label
_atom_site_type_symbol
_atom_site_fract_x
_atom_site_fract_y
_atom_site_fract_z
Th1 Th 0.250 0.000 0.232
Th2 Th 0.750 0.000 0.768
Al1 Al 0.250 0.500 0.384
Al2 Al 0.750 0.500 0.616
V1 V 0.000 0.500 0.000
V2 V 0.500 0.500 0.000
Ge1 Ge 0.250 0.235 0.739
Ge2 Ge 0.250 0.765 0.739
Ge3 Ge 0.750 0.235 0.261
Ge4 Ge 0.750 0.765 0.261
```

ΔE_f, eV per atom: -0.403
N(E_F), states/eV per atom: 0.754
SG: No. 51
Magnetic moment, μB per cell: 0.63

---

# 5
This record from the Alexandria database describes an optimized crystal structure of YThAlGe. The functional is PBE.

Cell and atoms, written as CIF:
```
data_YThAlGe
_cell_length_a 4.080
_cell_length_b 5.970
_cell_length_c 5.970
_cell_angle_alpha 43.45
_cell_angle_beta 90.00
_cell_angle_gamma 90.00
_symmetry_space_group_name_H-M 'P 1'
_symmetry_Int_Tables_number 1
_symmetry_space_group_name_Hall 'P 1'
loop_
_atom_site_label
_atom_site_type_symbol
_atom_site_fract_x
_atom_site_fract_y
_atom_site_fract_z
Y1 Y 0.000 0.000 0.000
Th1 Th 0.500 0.716 0.716
Al1 Al 0.000 0.287 0.287
Ge1 Ge 0.500 0.437 0.437
```

ΔE_f, eV per atom: -0.628
N(E_F), states/eV per atom: 0.889
SG: No. 38
Magnetic moment, μB per cell: 0.00

---

# 6
This record from the Alexandria database describes an optimized crystal structure of TiAl3Ge. The functional is PBE.

Cell and atoms, written as CIF:
```
data_TiAl3Ge
_cell_length_a 4.964
_cell_length_b 4.964
_cell_length_c 4.964
_cell_angle_alpha 90.00
_cell_angle_beta 90.00
_cell_angle_gamma 90.00
_symmetry_space_group_name_H-M 'P 1'
_symmetry_Int_Tables_number 1
_symmetry_space_group_name_Hall 'P 1'
loop_
_atom_site_label
_atom_site_type_symbol
_atom_site_fract_x
_atom_site_fract_y
_atom_site_fract_z
Ti1 Ti 0.000 0.000 0.000
Al1 Al 0.000 0.000 0.500
Al2 Al 0.000 0.500 0.000
Al3 Al 0.500 0.000 0.000
Ge1 Ge 0.500 0.500 0.500
```

ΔE_f, eV per atom: 0.885
Excess energy over the best structure of this formula in the dataset, meV/atom: 1041
N(E_F), states/eV per atom: 0.533
SG: No. 221
Magnetic moment, μB per cell: 1.11

---

# 7
This record from the Alexandria database describes an optimized crystal structure of Ti2AlGe. The functional is PBE.

Cell and atoms, written as CIF:
```
data_Ti2AlGe
_cell_length_a 5.728
_cell_length_b 5.728
_cell_length_c 5.728
_cell_angle_alpha 103.30
_cell_angle_beta 103.30
_cell_angle_gamma 122.68
_symmetry_space_group_name_H-M 'P 1'
_symmetry_Int_Tables_number 1
_symmetry_space_group_name_Hall 'P 1'
loop_
_atom_site_label
_atom_site_type_symbol
_atom_site_fract_x
_atom_site_fract_y
_atom_site_fract_z
Ti1 Ti 0.115 0.625 0.990
Ti2 Ti 0.375 0.365 0.490
Ti3 Ti 0.635 0.125 0.010
Ti4 Ti 0.875 0.885 0.510
Al1 Al 0.250 0.750 0.500
Al2 Al 0.500 0.500 0.000
Ge1 Ge 0.000 0.000 0.000
Ge2 Ge 0.750 0.250 0.500
```

ΔE_f, eV per atom: -0.127
N(E_F), states/eV per atom: 0.778
SG: No. 122
Magnetic moment, μB per cell: 0.00

---

# 8
This record from the Alexandria database describes an optimized crystal structure of Ti4AlGe7. The functional is PBE.

Cell and atoms, written as CIF:
```
data_Ti4AlGe7
_cell_length_a 14.433
_cell_length_b 14.433
_cell_length_c 14.433
_cell_angle_alpha 165.27
_cell_angle_beta 165.27
_cell_angle_gamma 20.89
_symmetry_space_group_name_H-M 'P 1'
_symmetry_Int_Tables_number 1
_symmetry_space_group_name_Hall 'P 1'
loop_
_atom_site_label
_atom_site_type_symbol
_atom_site_fract_x
_atom_site_fract_y
_atom_site_fract_z
Ti1 Ti 0.073 0.573 0.500
Ti2 Ti 0.175 0.175 0.000
Ti3 Ti 0.427 0.927 0.500
Ti4 Ti 0.825 0.825 0.000
Al1 Al 0.250 0.750 0.500
Ge1 Ge 0.000 0.000 0.000
Ge2 Ge 0.340 0.340 0.000
Ge3 Ge 0.500 0.500 0.000
Ge4 Ge 0.595 0.095 0.500
Ge5 Ge 0.660 0.660 0.000
Ge6 Ge 0.750 0.250 0.500
Ge7 Ge 0.905 0.405 0.500
```

ΔE_f, eV per atom: -0.449
N(E_F), states/eV per atom: 0.330
SG: No. 119
Magnetic moment, μB per cell: 0.00

---

# 9
This record from the Alexandria database describes an optimized crystal structure of Ti8Al3Ge2. The functional is PBE.

Cell and atoms, written as CIF:
```
data_Ti8Al3Ge2
_cell_length_a 7.331
_cell_length_b 7.331
_cell_length_c 5.033
_cell_angle_alpha 104.79
_cell_angle_beta 104.79
_cell_angle_gamma 62.01
_symmetry_space_group_name_H-M 'P 1'
_symmetry_Int_Tables_number 1
_symmetry_space_group_name_Hall 'P 1'
loop_
_atom_site_label
_atom_site_type_symbol
_atom_site_fract_x
_atom_site_fract_y
_atom_site_fract_z
Ti1 Ti 0.067 0.688 0.434
Ti2 Ti 0.109 0.109 0.035
Ti3 Ti 0.310 0.310 0.981
Ti4 Ti 0.312 0.933 0.566
Ti5 Ti 0.688 0.067 0.434
Ti6 Ti 0.690 0.690 0.019
Ti7 Ti 0.891 0.891 0.965
Ti8 Ti 0.933 0.312 0.566
Al1 Al 0.313 0.687 0.000
Al2 Al 0.500 0.500 0.500
Al3 Al 0.687 0.313 0.000
Ge1 Ge 0.284 0.284 0.464
Ge2 Ge 0.716 0.716 0.536
```

ΔE_f, eV per atom: -0.137
N(E_F), states/eV per atom: 1.074
SG: No. 12
Magnetic moment, μB per cell: 0.00

---

# 10
This record from the Alexandria database describes an optimized crystal structure of TiAl3Ge. The functional is PBE.

Cell and atoms, written as CIF:
```
data_TiAl3Ge
_cell_length_a 4.772
_cell_length_b 4.772
_cell_length_c 4.772
_cell_angle_alpha 90.00
_cell_angle_beta 90.00
_cell_angle_gamma 90.00
_symmetry_space_group_name_H-M 'P 1'
_symmetry_Int_Tables_number 1
_symmetry_space_group_name_Hall 'P 1'
loop_
_atom_site_label
_atom_site_type_symbol
_atom_site_fract_x
_atom_site_fract_y
_atom_site_fract_z
Ti1 Ti 0.000 0.000 0.000
Al1 Al 0.000 0.500 0.500
Al2 Al 0.500 0.000 0.500
Al3 Al 0.500 0.500 0.000
Ge1 Ge 0.500 0.500 0.500
```

ΔE_f, eV per atom: 0.864
Excess energy over the best structure of this formula in the dataset, meV/atom: 1020
N(E_F), states/eV per atom: 1.136
SG: No. 221
Magnetic moment, μB per cell: 0.00

---

# 11
This record from the Alexandria database describes an optimized crystal structure of TiAlGe3. The functional is PBE.

Cell and atoms, written as CIF:
```
data_TiAlGe3
_cell_length_a 4.790
_cell_length_b 4.790
_cell_length_c 4.790
_cell_angle_alpha 90.00
_cell_angle_beta 90.00
_cell_angle_gamma 90.00
_symmetry_space_group_name_H-M 'P 1'
_symmetry_Int_Tables_number 1
_symmetry_space_group_name_Hall 'P 1'
loop_
_atom_site_label
_atom_site_type_symbol
_atom_site_fract_x
_atom_site_fract_y
_atom_site_fract_z
Ti1 Ti 0.000 0.000 0.000
Al1 Al 0.500 0.500 0.500
Ge1 Ge 0.000 0.500 0.500
Ge2 Ge 0.500 0.000 0.500
Ge3 Ge 0.500 0.500 0.000
```

ΔE_f, eV per atom: 0.791
Excess energy over the best structure of this formula in the dataset, meV/atom: 422
N(E_F), states/eV per atom: 1.730
SG: No. 221
Magnetic moment, μB per cell: 0.00

---

# 12
This record from the Alexandria database describes an optimized crystal structure of TiAlGe2. The functional is PBE.

Cell and atoms, written as CIF:
```
data_TiAlGe2
_cell_length_a 5.788
_cell_length_b 5.788
_cell_length_c 5.788
_cell_angle_alpha 103.12
_cell_angle_beta 103.12
_cell_angle_gamma 123.08
_symmetry_space_group_name_H-M 'P 1'
_symmetry_Int_Tables_number 1
_symmetry_space_group_name_Hall 'P 1'
loop_
_atom_site_label
_atom_site_type_symbol
_atom_site_fract_x
_atom_site_fract_y
_atom_site_fract_z
Ti1 Ti 0.000 0.000 0.000
Ti2 Ti 0.750 0.250 0.500
Al1 Al 0.250 0.750 0.500
Al2 Al 0.500 0.500 0.000
Ge1 Ge 0.134 0.125 0.509
Ge2 Ge 0.375 0.866 0.991
Ge3 Ge 0.616 0.625 0.491
Ge4 Ge 0.875 0.384 0.009
```

ΔE_f, eV per atom: 0.056
N(E_F), states/eV per atom: 1.015
SG: No. 122
Magnetic moment, μB per cell: 0.00